## UCoTcIr (PBE-GGA)

Data for UCoTcIr after structural relaxation.

Cell and atoms, written as POSCAR:
```
UCoTcIr
1.0
3.910 0.000 0.000
0.000 3.920 0.000
0.000 0.000 4.039
U Co Tc Ir
1 1 1 1
Cartesian
0.000 0.000 0.000 U
1.955 0.000 2.019 Co
1.955 1.960 0.000 Tc
0.000 1.960 2.019 Ir
```

Its electronic total energy is -9.765 eV/atom. The value obtained for the energy of formation from the pure elements is -0.359 eV/atom. Its space group is Pmmm (47). As for the total magnetic moment: 0.0 μB/f.u.


## Tb2DySc3P6 (PBE-GGA)

Data for Tb2DySc3P6 after structural relaxation.

Cell and atoms, written as POSCAR:
```
Tb2DySc3P6
1.0
3.374 -5.844 0.000
3.374 5.844 0.000
-2.247 0.000 6.335
Tb Dy Sc P
2 1 3 6
Cartesian
3.374 3.896 0.000 Tb
3.374 -3.896 0.000 Tb
3.374 0.000 0.000 Dy
-1.123 0.000 3.168 Sc
2.251 1.950 3.168 Sc
2.251 -1.950 3.168 Sc
0.005 1.944 4.649 P
1.131 0.000 1.687 P
0.005 -1.944 4.649 P
4.497 1.944 1.686 P
3.371 0.000 4.649 P
4.497 -1.944 1.686 P
```

Its electronic total energy is -6.977 eV/atom. The value obtained for the energy of formation from the pure elements is -1.534 eV/atom. Its space group is C2/m (12). As for the total magnetic moment: 0.0 μB/f.u.


Copy entry 1 word for word.
## UCoTcIr (PBE-GGA)

Data for UCoTcIr after structural relaxation.

Cell and atoms, written as POSCAR:
```
UCoTcIr
1.0
3.910 0.000 0.000
0.000 3.920 0.000
0.000 0.000 4.039
U Co Tc Ir
1 1 1 1
Cartesian
0.000 0.000 0.000 U
1.955 0.000 2.019 Co
1.955 1.960 0.000 Tc
0.000 1.960 2.019 Ir
```

Its electronic total energy is -9.765 eV/atom. The value obtained for the energy of formation from the pure elements is -0.359 eV/atom. Its space group is Pmmm (47). As for the total magnetic moment: 0.0 μB/f.u.


The highest electronic total energy belongs to which entry?
Tb2DySc3P6


total magnetic moment of number 2 (Tb2DySc3P6)?
0.0 μB/f.u.